1.
# LiFeSiO4

Crystalline LiFeSiO4 at its relaxed geometry (GGA+U, Alexandria).

## Properties
As for the size of the total moment: 0.71 μB/atom. As for the raw total energy: -191.2 eV per cell.

Cell: 4.7620 6.1990 10.3398 Å, 90.00 90.00 90.00°
Space group P2_12_12_1 (No. 19)
Symmetry-distinct sites (fractional):
Li1 0.0234 0.0237 0.4648
Fe1 0.0005 0.7305 0.7479
Si1 0.0838 0.5206 0.3403
O1 0.2210 0.7435 0.3976
O2 0.2283 0.3021 0.4011
O3 0.2398 0.9824 0.6680
O4 0.2476 0.5193 0.1925

=====

2.
# LiFeSiO4

Crystalline LiFeSiO4 at its relaxed geometry (GGA+U, Alexandria).

## Properties
As for the size of the total moment: 0.71 μB/atom. As for the raw total energy: -192.2 eV per cell.

Cell: 5.2000 9.7357 8.7458 Å, 90.00 90.27 90.00°
Space group Cc (No. 9)
Symmetry-distinct sites (fractional):
Li1 0.0000 0.1952 0.0000
Fe1 0.0054 0.3402 0.6885
Si1 0.0034 0.3242 0.3135
O1 0.0223 0.4791 0.2474
O2 0.1344 0.3151 0.4857
O3 0.1562 0.2195 0.1961
O4 0.2002 0.2254 0.8231

=====

3.
# LiFeSiO4

Crystalline LiFeSiO4 at its relaxed geometry (GGA+U, Alexandria).

## Properties
As for the size of the total moment: 0.71 μB/atom. As for the raw total energy: -191.5 eV per cell.

Cell: 5.8932 6.4592 9.4249 Å, 76.91 88.42 80.01°
Space group P-1 (No. 2)
Symmetry-distinct sites (fractional):
Li1 0.0754 0.3641 0.1701
Li2 0.0775 0.8797 0.2476
Fe1 0.3041 0.6351 0.5750
Fe2 0.4983 0.0679 0.2104
Si1 0.2209 0.1692 0.4939
Si2 0.3569 0.2873 0.8801
O1 0.0377 0.7397 0.4549
O2 0.2150 0.1427 0.3254
O3 0.2158 0.0977 0.8540
O4 0.2403 0.5258 0.7793
O5 0.3193 0.9360 0.6082
O6 0.3491 0.3006 0.0523
O7 0.3830 0.3504 0.5087
O8 0.3873 0.8069 0.1779